This record from Alexandria via LeMat-Bulk describes an optimized crystal structure of Pr2EuEr. The functional is PBE-GGA.

Properties
**Total magnetization**: 1.901 μB/atom
**Calculated formation energy**: 0.12 eV per atom
**Crystal system**: cubic
**N(E_F)**: 24.81 states/eV per cell

a = 8.297 Å, b = 8.297 Å, c = 8.297 Å
α = 90.00°, β = 90.00°, γ = 90.00°
Space group Fm-3m (No. 225)
Asymmetric unit:
1 Pr 0.250 0.250 0.250
2 Eu 0.000 0.000 0.000
3 Er 0.000 0.000 0.500



This record from Alexandria via LeMat-Bulk describes an optimized crystal structure of Pr2EuEr. The functional is PBE-GGA.

Properties
**Total magnetization**: 1.778 μB/atom
**Calculated formation energy**: 0.07 eV per atom
**Crystal system**: tetragonal
**N(E_F)**: 5.71 states/eV per cell

a = 5.233 Å, b = 5.233 Å, c = 5.161 Å
α = 90.00°, β = 90.00°, γ = 90.00°
Space group P4/mmm (No. 123)
Asymmetric unit:
1 Pr 0.000 0.500 0.000
2 Eu 0.000 0.000 0.500
3 Er 0.500 0.500 0.500



This record from Alexandria via LeMat-Bulk describes an optimized crystal structure of PrEuEr. The functional is PBE-GGA.

Properties
**Total magnetization**: 2.465 μB/atom
**Calculated formation energy**: 0.05 eV per atom
**Crystal system**: trigonal
**N(E_F)**: 3.63 states/eV per cell

a = 3.6810 Å, b = 3.6810 Å, c = 9.0541 Å
α = 90.00°, β = 90.00°, γ = 120.00°
Space group P3m1 (No. 156)
Asymmetric unit:
1 Pr 0.0000 0.0000 0.0000
2 Eu 0.6667 0.3333 0.6470
3 Er 0.3333 0.6667 0.3121